A plane-wave DFT calculation with PBE was carried out for a relaxed structure of Np2Sb2H.

Values from the calculation:
Excess energy over the best structure of this formula in the dataset = 0.000 eV/atom
DOS(E_F) = 61.6 states/eV/cell
Crystal system = orthorhombic
Mass density = 10.41 Mg/m³

Unit cell a=6.1516 b=12.3162 c=6.0519 alpha=90.00 beta=90.00 gamma=90.00
Space group Ibam (No. 72)
Symmetry-distinct sites (fractional):
Np 0.1969 0.1018 0.0000 [8 per cell]
Sb 0.1957 0.3536 0.0000 [8 per cell]
H 0.0000 0.0000 0.2500 [4 per cell]